PPt2Rh (SCAN, PBEsol geometry); uncorrected energy = -46.077 eV per atom; symmetry = P4/mmm; total magnetization = 0.00 μB/cell
1.0
2.877 0.000 0.000
0.000 2.877 0.000
0.000 0.000 6.797
Pt P Rh
2 1 1
direct
0.000 0.000 0.275 Pt
0.000 0.000 0.725 Pt
0.500 0.500 0.500 P
0.500 0.500 0.000 Rh